(1)
DFT (GGA-PBEsol) results for a geometry-optimized Li2CuRh structure.

Properties
Crystal system   tetragonal
Energy relative to the elements   0.06 eV/f.u.
Density   5.9 Mg/m³
Fermi-level density of states   2.9 states/eV/cell
DFT total energy   -16.3 eV/cell

Unit cell a=2.5463 b=2.5463 c=7.7739 alpha=90.00 beta=90.00 gamma=90.00
Sites, in units of the cell vectors:
Cu1 0.5000 0.5000 0.5000
Li1 0.0000 0.0000 0.7495
Li2 0.0000 0.0000 0.2505
Rh1 0.5000 0.5000 0.0000

---

(2)
DFT (GGA-PBEsol) results for a geometry-optimized PdRhPb4 structure.

Properties
Crystal system   tetragonal
Energy relative to the elements   -0.79 eV/f.u.
Density   13.0 Mg/m³
Fermi-level density of states   3.3 states/eV/cell
DFT total energy   -30.9 eV/cell

Unit cell a=5.5872 b=5.5872 c=5.5872 alpha=105.54 beta=105.54 gamma=117.67
Sites, in units of the cell vectors:
Pb1 0.4133 0.5867 0.5000
Rh1 0.5000 0.5000 0.0000
Pd1 0.0000 0.0000 0.0000
Pb2 0.5867 0.0867 0.1735
Pb3 0.0867 0.9133 0.5000
Pb4 0.9133 0.4133 0.8265

---

(3)
DFT (GGA-PBEsol) results for a geometry-optimized Sc2SbTe structure.

Properties
Crystal system   trigonal
Density   5.8 Mg/m³
Raw formation energy   -1.1035 eV per atom
Fermi-level density of states   1.9 states/eV/cell
DFT total energy   -25.7 eV/cell

Unit cell a=4.1033 b=4.1033 c=7.1244 alpha=73.26 beta=73.26 gamma=60.00
Sites, in units of the cell vectors:
Sb1 0.5000 0.5000 0.5000
Te1 0.0000 0.0000 0.0000
Sc1 0.2466 0.2466 0.2602
Sc2 0.7534 0.7534 0.7398

---

(4)
DFT (GGA-PBEsol) results for a geometry-optimized La3CoSn structure.

Properties
Crystal system   cubic
Energy relative to the elements   -2.21 eV/f.u.
Density   7.0 Mg/m³
Fermi-level density of states   3.7 states/eV/cell
DFT total energy   -30.2 eV/cell

Unit cell a=5.2023 b=5.2023 c=5.2023 alpha=90.00 beta=90.00 gamma=90.00
Sites, in units of the cell vectors:
Sn1 0.0000 0.0000 0.0000
La1 0.5000 0.5000 0.0000
La2 0.5000 0.0000 0.5000
La3 0.0000 0.5000 0.5000
Co1 0.5000 0.5000 0.5000

---

(5)
DFT (GGA-PBEsol) results for a geometry-optimized HgPb2W structure.

Properties
Crystal system   orthorhombic
Energy relative to the elements   3.84 eV/f.u.
Density   14.9 Mg/m³
Fermi-level density of states   3.3 states/eV/cell
DFT total energy   -18.5 eV/cell

Unit cell a=3.1443 b=5.1806 c=5.4667 alpha=90.00 beta=90.00 gamma=90.00
Sites, in units of the cell vectors:
Pb1 0.5000 0.0000 0.5000
Hg1 0.0000 0.5000 0.5000
Pb2 0.0000 0.0000 0.0000
W1 0.5000 0.5000 0.0000

---

(6)
DFT (GGA-PBEsol) results for a geometry-optimized ReNi2Pt structure.

Properties
Crystal system   orthorhombic
Energy relative to the elements   -0.18 eV/f.u.
Density   16.4 Mg/m³
Fermi-level density of states   4.1 states/eV/cell
DFT total energy   -32.8 eV/cell

Unit cell a=2.6456 b=3.6062 c=5.2838 alpha=90.00 beta=90.00 gamma=90.00
Sites, in units of the cell vectors:
Ni1 0.0000 0.0000 0.7353
Ni2 0.0000 0.0000 0.2647
Re1 0.5000 0.5000 0.5000
Pt1 0.5000 0.5000 0.0000